No. 1
# Rb2Tm2SbO6 (PBE, relaxed)
data_Rb2Tm2SbO6
_cell_length_a 5.884
_cell_length_b 10.166
_cell_length_c 6.954
_cell_angle_alpha 90.00
_cell_angle_beta 105.81
_cell_angle_gamma 90.00
_symmetry_space_group_name_H-M 'C 1 2/m 1'
_symmetry_Int_Tables_number 12
loop_
_symmetry_equiv_pos_as_xyz
'x,y,z'
'-x,-y,-z'
'-x,y,-z'
'x,-y,z'
'x+1/2,y+1/2,z'
'-x+1/2,-y+1/2,-z'
'-x+1/2,y+1/2,-z'
'x+1/2,-y+1/2,z'
loop_
_atom_site_label
_atom_site_type_symbol
_atom_site_fract_x
_atom_site_fract_y
_atom_site_fract_z
Rb1 Rb 0.000 0.166 0.000
Tm1 Tm 0.000 0.334 0.500
Sb1 Sb 0.000 0.000 0.500
O1 O 0.213 0.164 0.664
O2 O 0.234 0.500 0.664
# Formation energy from raw total energies ... -2.36 eV/atom


No. 2
# InCuH3 (PBE, relaxed)
data_InCuH3
_cell_length_a 3.925
_cell_length_b 3.925
_cell_length_c 3.925
_cell_angle_alpha 90.00
_cell_angle_beta 90.00
_cell_angle_gamma 90.00
_symmetry_space_group_name_H-M 'P m -3 m'
_symmetry_Int_Tables_number 221
_symmetry_space_group_name_Hall '-P 4 2 3'
loop_
_atom_site_label
_atom_site_type_symbol
_atom_site_fract_x
_atom_site_fract_y
_atom_site_fract_z
In1 In 0.000 0.000 0.000
Cu1 Cu 0.500 0.500 0.500
H1 H 0.000 0.000 0.500
# Total DFT energy (no corrections) ... -2.617 eV/atom